Here is an optimized crystal structure of NpPbI2 from Alexandria. Energies are from GGA-PBE.

a b c (Å): 3.8337 3.8337 11.7415
angles (deg): 80.60 80.60 60.00
Last column: magnetic moment on the atom in μB.
Sites, in units of the cell vectors:
I 0.9134 0.9134 0.2597  -0.06
I 0.0866 0.0866 0.7403  -0.06
Pb 0.5000 0.5000 0.5000  0.01
Np 0.0000 0.0000 0.0000  4.41

Results
* formation energy from raw total energies: 0.1440 eV per atom
* magnetization: 4.96 μB/f.u.
* N(E_F): 8.24 states/eV/cell